# 1
Below is a geometry-optimized AsWN2F structure, with properties calculated at the PBE with a Hubbard U level.

As for the total energy: -5.85 eV per atom. For the density of states at the Fermi level, the calculation gives 2.23 states/eV/f.u. As for the calculated volume: 68 Å³/cell. The energy above the lowest structure with this stoichiometry comes out at 0.000 eV/atom.

extended XYZ file:
```
5
Lattice="4.0830 0.0000 0.0000 0.0000 4.0830 0.0000 0.0000 0.0000 4.1002" Properties=species:S:1:pos:R:3 pbc="T T T"
N 2.0415 0.0000 0.0000
N 0.0000 2.0415 0.0000
F 0.0000 0.0000 2.0501
W 0.0000 0.0000 0.0000
As 2.0415 2.0415 2.0501
```

# 2
Below is a geometry-optimized AsWN2F structure, with properties calculated at the PBE with a Hubbard U level.

As for the total energy: -5.33 eV per atom. For the density of states at the Fermi level, the calculation gives 1.26 states/eV/f.u. As for the calculated volume: 61 Å³/cell. The energy above the lowest structure with this stoichiometry comes out at 0.515 eV/atom.

extended XYZ file:
```
5
Lattice="-1.9764 3.2775 -1.1443 -2.8893 -2.2829 -1.5485 -1.8421 0.0589 3.3503" Properties=species:S:1:pos:R:3 pbc="T T T"
As 0.0000 0.0000 0.0000
N -0.9882 1.6387 -0.5721
N -1.4446 -1.1415 -0.7742
W -3.3539 0.5267 0.3288
F -0.9211 0.0294 1.6752
```

- The lowest calculated volume belongs to which entry?
  number 2